#w
First-principles (GGA-PBE) data for crystalline TlCd2Cl at its relaxed geometry, as listed in the Alexandria database.

Output
- SG = R3m
- ρ (g/cm³) = 7.13

a = 10.096 Å, b = 10.096 Å, c = 10.096 Å
α = 20.28°, β = 20.28°, γ = 20.28°
Sites, in units of the cell vectors:
Cd1 0.245 0.245 0.245
Cd2 0.991 0.991 0.991
Cl1 0.518 0.518 0.518
Tl1 0.746 0.746 0.746

---

#x
First-principles (GGA-PBE) data for crystalline TlCd2Cl at its relaxed geometry, as listed in the Alexandria database.

Output
- SG = C2/m
- ρ (g/cm³) = 7.05

a = 6.715 Å, b = 6.715 Å, c = 5.149 Å
α = 67.30°, β = 67.30°, γ = 30.96°
Sites, in units of the cell vectors:
Tl1 0.250 0.250 0.250
Cl1 0.750 0.750 0.750
Cd1 0.007 0.007 0.993
Cd2 0.493 0.493 0.507

---

Result of the stability comparison: #x is the most stable of them.

---

#w
First-principles (GGA-PBE) data for crystalline Si2AgRh at its relaxed geometry, as listed in the Alexandria database.

Output
- SG = Cmmm
- ρ (g/cm³) = 7.52

a = 4.396 Å, b = 4.396 Å, c = 3.049 Å
α = 90.00°, β = 90.00°, γ = 89.88°
Sites, in units of the cell vectors:
Si1 0.000 0.000 0.000
Si2 0.500 0.500 0.000
Ag1 0.500 0.000 0.500
Rh1 0.000 0.500 0.500

---

#x
First-principles (GGA-PBE) data for crystalline Si2AgRh at its relaxed geometry, as listed in the Alexandria database.

Output
- SG = P2/m
- ρ (g/cm³) = 7.12

a = 4.161 Å, b = 3.004 Å, c = 4.984 Å
α = 89.98°, β = 90.00°, γ = 90.00°
Sites, in units of the cell vectors:
Ag1 0.500 0.250 0.250
Si1 0.000 0.752 0.003
Si2 0.000 0.748 0.497
Rh1 0.500 0.750 0.750

---

Result of the stability comparison: #x is the most stable of them.